# FeSiHg | Alexandria | GGA-PBEsol | relaxed
data_FeSiHg
_cell_length_a 4.111
_cell_length_b 4.111
_cell_length_c 4.111
_cell_angle_alpha 60.00
_cell_angle_beta 60.00
_cell_angle_gamma 60.00
_symmetry_space_group_name_H-M 'P 1'
_symmetry_Int_Tables_number 1
_symmetry_space_group_name_Hall 'P 1'
loop_
_atom_site_label
_atom_site_type_symbol
_atom_site_fract_x
_atom_site_fract_y
_atom_site_fract_z
Fe1 Fe 0.000 0.000 0.000
Hg1 Hg 0.500 0.500 0.500
Si1 Si 0.250 0.250 0.250
# Symmetry: F-43m, No. 216
# Formation energy from raw total energies in meV/atom: 425
# D(E_F) in states/eV/f.u.: 3.17